The following is a GGA-PBE calculation of Er2AlHg3 after structural relaxation, from Alexandria via LeMat-Bulk.

Results
- uncorrected energy (eV per atom) = -2.68
- energy of formation (eV per formula unit) = -2.32
- mass density (Mg/m³) = 11.56

Cell lengths 6.956, 9.569, 16.637 Å; angles 90.00, 90.00, 90.00 degrees
Space group Fmmm (No. 69)
Asymmetric unit:
Er (0.245, 0.000, 0.000) x8
Er (0.250, 0.250, 0.250) x8
Al (0.000, 0.000, 0.332) x8
Hg (0.000, 0.000, 0.171) x8
Hg (0.000, 0.240, 0.414) x16